LaYTh: optimized geometry, PBE-GGA.

abc: 3.6153 3.6153 8.9183
angles: 90.00 90.00 120.00
With the nearest neighbours (Å) after each atom.
Sites, in units of the cell vectors:
La (0.0000, 0.0000, 0.0000)  3 Th 3.57, 6 La 3.62, 3 Y 3.80
Y (0.6667, 0.3333, 0.3563)  3 Th 3.52, 6 Y 3.62, 3 La 3.80
Th (0.3333, 0.6667, 0.6746)  3 Y 3.52, 3 La 3.57, 6 Th 3.62

- DFT formation energy (eV/atom) = 0.03
- volume (A^3/atom) = 33.649
- symmetry = No. 156